Compound: CeAsRuF
Source: Alexandria via LeMat-Bulk
Functional: GGA-PBE
Structure: optimized geometry

Properties
**Formation energy from raw total energies**: -1.861 eV/atom
**D(E_F)**: 10.2 states/eV per cell

a b c (Å): 4.1412 4.1412 8.0814
angles (deg): 90.00 90.00 90.00
With the nearest neighbours (Å) after each atom.
Space group P4/nmm (No. 129, origin choice 2)
One atom of each set of equivalent atoms:
Ce (0.2500, 0.2500, 0.1921) [2 per cell]  4 F 2.59
As (0.2500, 0.2500, 0.6655) [2 per cell]  4 Ru 2.47
Ru (0.2500, 0.7500, 0.5000) [2 per cell]  4 As 2.47
F (0.2500, 0.7500, 0.0000) [2 per cell]  4 Ce 2.59